(1)
Entry from Alexandria via LeMat-Bulk: crystalline AcMg6Cd3 at its relaxed geometry (GGA-PBE).

- calculated total energy (eV/atom) = -1.779
- crystal system = monoclinic
- symmetry = No. 14
- calculated density (Mg/m³) = 4.7

Lattice parameters (Å, degrees): 7.607 7.725 8.809 105.35 90.00 90.00
Fractional coordinates of all 20 atoms:
Mg 0.946 0.541 0.674
Mg 0.651 0.667 0.943
Mg 0.349 0.333 0.057
Cd 0.288 0.625 0.849
Mg 0.446 0.959 0.826
Mg 0.554 0.041 0.174
Ac 0.500 0.500 0.500
Cd 0.500 0.000 0.500
Mg 0.299 0.735 0.213
Mg 0.701 0.265 0.787
Cd 0.712 0.375 0.151
Mg 0.151 0.833 0.557
Mg 0.849 0.167 0.443
Cd 0.212 0.125 0.349
Ac 0.000 0.000 0.000
Mg 0.054 0.459 0.326
Cd 0.788 0.875 0.651
Mg 0.799 0.765 0.287
Cd 0.000 0.500 0.000
Mg 0.201 0.235 0.713



(2)
Entry from Alexandria via LeMat-Bulk: crystalline Mg6Bi2HIr at its relaxed geometry (GGA-PBE).

- calculated total energy (eV/atom) = -3.006
- crystal system = monoclinic
- symmetry = No. 12
- calculated density (Mg/m³) = 5.8

Lattice parameters (Å, degrees): 6.742 6.741 6.778 60.07 60.07 90.11
Fractional coordinates of all 10 atoms:
Mg 0.263 0.264 0.000
Mg 0.736 0.263 0.000
Ir 0.000 0.000 0.000
Bi 0.748 0.252 0.500
Mg 0.737 0.736 0.000
Bi 0.252 0.748 0.500
Mg 0.739 0.739 0.524
H 0.500 0.500 0.000
Mg 0.264 0.737 0.000
Mg 0.261 0.261 0.476



(3)
Entry from Alexandria via LeMat-Bulk: crystalline TbTmSe3 at its relaxed geometry (GGA-PBE).

- calculated total energy (eV/atom) = -5.757
- crystal system = trigonal
- symmetry = No. 148
- calculated density (Mg/m³) = 6.5
- excess energy over the best structure of this formula in the dataset (eV per atom) = 0.000
- formation energy without anion corrections (eV/f.u.) = -9.23

Lattice parameters (Å, degrees): 7.169 7.169 7.678 62.17 62.17 60.00
Fractional coordinates of all 10 atoms:
Se 0.947 0.244 0.252
Tb 0.651 0.651 0.047
Tm 0.154 0.154 0.539
Tb 0.349 0.349 0.953
Se 0.053 0.756 0.748
Se 0.443 0.053 0.748
Tm 0.846 0.846 0.461
Se 0.557 0.947 0.252
Se 0.756 0.443 0.748
Se 0.244 0.557 0.252



(4)
Entry from Alexandria via LeMat-Bulk: crystalline MgTlW2 at its relaxed geometry (GGA-PBE).

- calculated total energy (eV/atom) = -6.770
- crystal system = orthorhombic
- symmetry = No. 44
- calculated density (Mg/m³) = 13.1
- excess energy over the best structure of this formula in the dataset (eV per atom) = 0.232

Lattice parameters (Å, degrees): 5.433 5.433 5.433 142.80 127.82 65.81
Fractional coordinates of all 4 atoms:
Mg 0.508 0.508 0.000
W 0.774 0.274 0.500
Tl 0.243 0.743 0.500
W 0.975 0.975 0.000



- calculated total energy of number 3 (TbTmSe3)?
  -5.757 eV/atom



- What is the calculated density in the second record?
  5.8 Mg/m³



- calculated total energy of number 4 (MgTlW2)?
  -6.770 eV/atom